The following is a PBE calculation of a relaxed structure of Rb3Tl7Pb2, from the Alexandria database.

Values from the calculation:
* calculated volume: 481.6 Å³/cell
* energy relative to the elements: -0.02 eV per atom
* electronic total energy: -2.2586 eV per atom

Lattice parameters (Å, degrees): 4.8928 6.8362 22.6914 140.62 90.02 90.00
Fractional coordinates of all 12 atoms:
Rb 0.5000 0.5000 0.0000
Rb 0.4996 0.9837 0.3820
Rb 0.5004 0.0163 0.6180
Tl 0.0007 0.2649 0.8086
Tl 0.0004 0.4031 0.5826
Tl 0.0000 0.0000 0.0000
Tl 0.9993 0.7351 0.1914
Tl 0.4994 0.2015 0.2747
Tl 0.5006 0.7985 0.7253
Tl 0.9996 0.5969 0.4174
Pb 0.0008 0.7465 0.8025
Pb 0.9992 0.2535 0.1975